Density functional theory data (PBE) for an optimized crystal structure of PrSmTm2.

Calculated values
Total moment   0.0 Bohr magnetons per cell
Energy of formation from the pure elements   0.02 eV per atom

Cell: 9.2749 9.2406 9.2406 Å, 85.49 133.82 133.82°
With the nearest neighbours (Å) after each atom.
Positions (direct):
Tm  0.2474  0.5814  0.9166  4 Tm 3.53-3.68, 4 Sm 3.54-3.68, 4 Pr 3.56-3.65
Tm  0.2526  0.0834  0.4186  4 Tm 3.53-3.68, 4 Sm 3.54-3.68, 4 Pr 3.56-3.65
Tm  0.7474  0.9166  0.5814  4 Tm 3.53-3.68, 4 Sm 3.54-3.68, 4 Pr 3.56-3.65
Tm  0.7526  0.4186  0.0834  4 Tm 3.53-3.68, 4 Sm 3.54-3.68, 4 Pr 3.56-3.65
Pr  0.2500  0.4151  0.5849  8 Tm 3.56-3.65, 4 Sm 3.58-3.66
Pr  0.7500  0.5849  0.4151  8 Tm 3.56-3.65, 4 Sm 3.58-3.66
Sm  0.7500  0.0860  0.9140  8 Tm 3.54-3.68, 4 Pr 3.58-3.66
Sm  0.2500  0.9140  0.0860  8 Tm 3.54-3.68, 4 Pr 3.58-3.66

Density functional theory data (PBE) for an optimized crystal structure of KCo4Cl.

Calculated values
Energy relative to the elements, uncorrected   4.4 eV per formula unit
Total moment   7.9 Bohr magnetons per cell

Cell: 5.1467 5.1467 5.1467 Å, 60.00 60.00 60.00°
With the nearest neighbours (Å) after each atom.
Positions (direct):
Co  0.3738  0.3738  0.8786  6 Co 2.55-2.60
Co  0.8786  0.3738  0.3738  6 Co 2.55-2.60
Co  0.3738  0.3738  0.3738  6 Co 2.55-2.60
Co  0.3738  0.8786  0.3738  6 Co 2.55-2.60
Cl  0.0000  0.0000  0.0000  12 Co 3.01, 4 K 3.15
K  0.7500  0.7500  0.7500  12 Co 3.02, 4 Cl 3.15

Density functional theory data (PBE) for an optimized crystal structure of TmTe.

Calculated values
Energy relative to the elements, uncorrected   -2.4 eV per formula unit
Total moment   0.0 Bohr magnetons per cell

Cell: 4.1398 4.1398 7.6293 Å, 90.00 90.00 120.00°
With the nearest neighbours (Å) after each atom.
Positions (direct):
Tm  0.0000  0.0000  0.5000  6 Te 3.06
Tm  0.0000  0.0000  0.0000  6 Te 3.06
Te  0.6667  0.3333  0.7500  6 Tm 3.06
Te  0.3333  0.6667  0.2500  6 Tm 3.06

Density functional theory data (PBE) for an optimized crystal structure of SrLaTc2.

Calculated values
Total moment   0.0 Bohr magnetons per cell
Energy of formation from the pure elements   0.30 eV per atom

Cell: 3.3016 3.3016 9.3626 Å, 90.00 90.00 90.00°
With the nearest neighbours (Å) after each atom.
Positions (direct):
Tc  0.0000  0.0000  0.0699  4 Tc 2.59
Tc  0.5000  0.5000  0.1888  4 Tc 2.59
Sr  0.5000  0.5000  0.8181  4 Sr 3.30, 5 Tc 3.32-3.47
La  0.0000  0.0000  0.4231  5 Tc 3.20-3.31, 4 La 3.30

Density functional theory data (PBE) for an optimized crystal structure of K2ScP.

Calculated values
Total moment   0.0 Bohr magnetons per cell
Energy of formation from the pure elements   -0.11 eV per atom

Cell: 12.4386 12.4386 9.1396 Å, 47.12 47.12 90.00°
With the nearest neighbours (Å) after each atom.
Positions (direct):
K  0.2915  0.6250  0.2500  2 P 3.34
K  0.8750  0.7085  0.7500  2 P 3.34
K  0.3750  0.5415  0.7500  2 P 3.34
K  0.4585  0.1250  0.2500  2 P 3.34
Sc  0.0000  0.0000  0.0000  2 P 2.48
Sc  0.7500  0.2500  0.5000  2 P 2.48
P  0.5000  0.5000  0.0000  2 Sc 2.48
P  0.2500  0.7500  0.5000  2 Sc 2.48

Density functional theory data (PBE) for an optimized crystal structure of PmPuPaN3.

Calculated values
Energy relative to the elements, uncorrected   -5.8 eV per formula unit
Total moment   3.2 Bohr magnetons per cell

Cell: 3.4434 7.0192 8.8144 Å, 99.76 90.00 90.00°
With the nearest neighbours (Å) after each atom.
Positions (direct):
Pa  0.7500  0.3370  0.8539  5 N 2.21-2.38
Pa  0.2500  0.6630  0.1461  5 N 2.21-2.38
Pm  0.2500  0.1615  0.1702  7 N 2.53-2.65
Pm  0.7500  0.8385  0.8298  7 N 2.53-2.65
Pu  0.7500  0.8875  0.4722  3 N 2.22-2.44, 2 Pu 2.33
Pu  0.2500  0.1125  0.5278  3 N 2.22-2.44, 2 Pu 2.33
N  0.7500  0.2075  0.3998  3 Pu 2.22-2.44
N  0.7500  0.8709  0.1199  2 Pa 2.29, 1 Pm 2.53
N  0.2500  0.1291  0.8801  2 Pa 2.29, 1 Pm 2.53
N  0.7500  0.4247  0.1071  3 Pa 2.21-2.38
N  0.2500  0.7925  0.6002  3 Pu 2.22-2.44
N  0.2500  0.5753  0.8929  3 Pa 2.21-2.38

Density functional theory data (PBE) for an optimized crystal structure of SrPrSnPb.

Calculated values
Total moment   0.0 Bohr magnetons per cell
Energy of formation from the pure elements   -0.49 eV per atom

Cell: 5.6724 5.6724 5.6724 Å, 60.00 60.00 60.00°
With the nearest neighbours (Å) after each atom.
Positions (direct):
Sn  0.2500  0.2500  0.2500  4 Sr 3.47, 4 Pr 3.47
Sr  0.5000  0.5000  0.5000  4 Pb 3.47, 4 Sn 3.47
Pb  0.7500  0.7500  0.7500  4 Pr 3.47, 4 Sr 3.47
Pr  0.0000  0.0000  0.0000  4 Sn 3.47, 4 Pb 3.47

Density functional theory data (PBE) for an optimized crystal structure of Li3Cd2In2Hg4.

Calculated values
Total moment   0.0 Bohr magnetons per cell
Energy of formation from the pure elements   -0.16 eV per atom

Cell: 4.8807 4.8807 12.4305 Å, 90.00 90.00 120.00°
With the nearest neighbours (Å) after each atom.
Positions (direct):
Hg  0.3333  0.6667  0.8500  4 Cd 2.89-3.08, 3 Li 3.08, 1 In 3.22
Hg  0.6667  0.3333  0.1500  4 Cd 2.89-3.08, 3 Li 3.08, 1 In 3.22
Hg  0.6667  0.3333  0.6572  4 In 2.94-3.08, 3 Li 3.04, 1 Cd 3.05
Hg  0.3333  0.6667  0.3428  4 In 2.94-3.08, 3 Li 3.04, 1 Cd 3.05
Cd  0.3333  0.6667  0.0973  5 Hg 2.89-3.08, 3 Li 3.07
Cd  0.6667  0.3333  0.9027  5 Hg 2.89-3.08, 3 Li 3.07
In  0.6667  0.3333  0.4091  5 Hg 2.94-3.22
In  0.3333  0.6667  0.5909  5 Hg 2.94-3.22
Li  0.0000  0.0000  0.7492  6 Hg 3.04-3.08, 1 Li 3.12, 3 Cd 3.40
Li  0.0000  0.0000  0.0000  6 Cd 3.07, 2 Li 3.12, 6 Hg 3.38
Li  0.0000  0.0000  0.2508  6 Hg 3.04-3.08, 1 Li 3.12, 3 Cd 3.40

Density functional theory data (PBE) for an optimized crystal structure of CdAg2Rh.

Calculated values
Total moment   0.0 Bohr magnetons per cell
Energy of formation from the pure elements   0.05 eV per atom

Cell: 4.6111 4.6111 4.6111 Å, 60.00 60.00 60.00°
With the nearest neighbours (Å) after each atom.
Positions (direct):
Cd  0.5000  0.5000  0.5000  4 Rh 2.82, 4 Ag 2.82
Ag  0.0000  0.0000  0.0000  4 Ag 2.82, 4 Rh 2.82
Ag  0.2500  0.2500  0.2500  4 Cd 2.82, 4 Ag 2.82
Rh  0.7500  0.7500  0.7500  4 Ag 2.82, 4 Cd 2.82

Density functional theory data (PBE) for an optimized crystal structure of LiPmMgF6.

Calculated values
Energy relative to the elements, uncorrected   -32.1 eV per formula unit
Total moment   0.0 Bohr magnetons per cell

Cell: 5.4098 5.4098 9.0939 Å, 90.00 90.00 120.00°
With the nearest neighbours (Å) after each atom.
Positions (direct):
Li  0.3333  0.6667  0.2500  6 F 2.09
Li  0.6667  0.3333  0.7500  6 F 2.09
F  0.9716  0.6720  0.8761  1 Mg 2.04, 1 Li 2.09, 1 Pm 2.28
F  0.9716  0.2996  0.6239  1 Mg 2.04, 1 Li 2.09, 1 Pm 2.28
F  0.2996  0.3280  0.3761  1 Mg 2.04, 1 Li 2.09, 1 Pm 2.28
F  0.6720  0.7004  0.1239  1 Mg 2.04, 1 Li 2.09, 1 Pm 2.28
F  0.7004  0.6720  0.6239  1 Mg 2.04, 1 Li 2.09, 1 Pm 2.28
F  0.2996  0.9716  0.1239  1 Mg 2.04, 1 Li 2.09, 1 Pm 2.28
F  0.7004  0.0284  0.8761  1 Mg 2.04, 1 Li 2.09, 1 Pm 2.28
F  0.0284  0.3280  0.1239  1 Mg 2.04, 1 Li 2.09, 1 Pm 2.28
F  0.3280  0.0284  0.6239  1 Mg 2.04, 1 Li 2.09, 1 Pm 2.28
F  0.3280  0.2996  0.8761  1 Mg 2.04, 1 Li 2.09, 1 Pm 2.28
F  0.0284  0.7004  0.3761  1 Mg 2.04, 1 Li 2.09, 1 Pm 2.28
F  0.6720  0.9716  0.3761  1 Mg 2.04, 1 Li 2.09, 1 Pm 2.28
Pm  0.3333  0.6667  0.7500  6 F 2.28
Pm  0.6667  0.3333  0.2500  6 F 2.28
Mg  0.0000  0.0000  0.5000  6 F 2.04
Mg  0.0000  0.0000  0.0000  6 F 2.04

Density functional theory data (PBE) for an optimized crystal structure of LaGa2RhCl.

Calculated values
Energy relative to the elements, uncorrected   -2.1 eV per formula unit
Total moment   0.0 Bohr magnetons per cell

Cell: 4.7141 5.2394 4.7141 Å, 90.00 90.00 90.00°
With the nearest neighbours (Å) after each atom.
Positions (direct):
Cl  0.0000  0.5000  0.0000  2 Rh 2.62
La  0.5000  0.5000  0.5000  4 Cl 3.33, 8 Ga 3.52
Ga  0.5000  0.0000  0.0000  2 Rh 2.36
Ga  0.0000  0.0000  0.5000  2 Rh 2.36
Rh  0.0000  0.0000  0.0000  4 Ga 2.36, 2 Cl 2.62

Density functional theory data (PBE) for an optimized crystal structure of Zn3TcPt.

Calculated values
Total moment   3.3 Bohr magnetons per cell
Energy of formation from the pure elements   0.73 eV per atom

Cell: 4.7264 4.7264 4.7264 Å, 90.00 90.00 90.00°
With the nearest neighbours (Å) after each atom.
Positions (direct):
Zn  0.5000  0.0000  0.0000  2 Pt 2.36
Zn  0.0000  0.5000  0.0000  2 Pt 2.36
Zn  0.0000  0.0000  0.5000  2 Pt 2.36
Tc  0.5000  0.5000  0.5000  12 Zn 3.34
Pt  0.0000  0.0000  0.0000  6 Zn 2.36